# 1
Density functional theory data (GGA-PBE) for a relaxed structure of CuNCl2.

Calculated values
relative energy among the computed polymorphs: 0.113 eV per atom
VASP energy: -11.95 eV/cell
ΔE_f (raw): 4.16 eV per formula unit

The structure in extended XYZ format:
```
4
Lattice="1.756 1.014 6.801 -1.756 1.014 6.801 0.000 -2.027 6.801" Properties=species:S:1:pos:R:3 pbc="T T T"
Cu 0.000 0.000 0.000
N 0.000 0.000 10.201
Cl 0.000 0.000 8.186
Cl 0.000 0.000 12.217
```

# 2
Density functional theory data (GGA-PBE) for a relaxed structure of ScAlIn2.

Calculated values
E_form: -0.073 eV/atom
VASP energy: -15.84 eV/cell

The structure in extended XYZ format:
```
4
Lattice="1.638 0.946 9.942 -1.638 0.946 9.942 0.000 -1.892 9.942" Properties=species:S:1:pos:R:3 pbc="T T T"
Sc 0.000 0.000 0.000
Al 0.000 0.000 22.183
In 0.000 0.000 7.444
In 0.000 0.000 14.702
```

# 3
Density functional theory data (GGA-PBE) for a relaxed structure of CePrInGe.

Calculated values
E_form: -0.439 eV/atom
VASP energy: -19.83 eV/cell

The structure in extended XYZ format:
```
4
Lattice="0.000 3.787 3.787 3.787 0.000 3.787 3.787 3.787 0.000" Properties=species:S:1:pos:R:3 pbc="T T T"
Ce 0.000 0.000 0.000
Pr 3.787 3.787 3.787
In 1.893 1.893 1.893
Ge 5.680 5.680 5.680
```

Please write out number 2 again, unchanged.
Density functional theory data (GGA-PBE) for a relaxed structure of ScAlIn2.

Calculated values
E_form: -0.073 eV/atom
VASP energy: -15.84 eV/cell

The structure in extended XYZ format:
```
4
Lattice="1.638 0.946 9.942 -1.638 0.946 9.942 0.000 -1.892 9.942" Properties=species:S:1:pos:R:3 pbc="T T T"
Sc 0.000 0.000 0.000
Al 0.000 0.000 22.183
In 0.000 0.000 7.444
In 0.000 0.000 14.702
```

- Look up the VASP energy of the second one.
  -15.84 eV/cell